Ho3Ga2: optimized geometry, PBE.

Calculated values
The density of states at the Fermi level comes out at 9.42 states/eV/cell. For the volume, the calculation gives 26.08 Å³/atom. Its formation energy from the elements is -408 meV per atom. Its total energy is -4.37 eV per atom. As for the total magnetization: 0.00 μB per cell.

Cell: 3.651 11.741 12.164 Å, 90.00 90.00 90.00°
Fractional positions:
Ga 0.250 0.999 0.818
Ga 0.750 0.819 0.502
Ga 0.750 0.499 0.682
Ga 0.250 0.501 0.318
Ga 0.250 0.319 0.998
Ga 0.750 0.681 0.002
Ga 0.750 0.001 0.182
Ga 0.250 0.181 0.498
Ho 0.750 0.772 0.765
Ho 0.750 0.466 0.128
Ho 0.250 0.228 0.235
Ho 0.750 0.034 0.628
Ho 0.750 0.127 0.967
Ho 0.250 0.272 0.735
Ho 0.750 0.373 0.467
Ho 0.250 0.966 0.372
Ho 0.750 0.728 0.265
Ho 0.250 0.873 0.033
Ho 0.250 0.627 0.533
Ho 0.250 0.534 0.872


LiRuRh2: optimized geometry, PBE.

Calculated values
The density of states at the Fermi level comes out at 5.37 states/eV/cell. The calculation puts the energy above the most stable polymorph in this dataset at 0.132 eV per atom. For the volume, the calculation gives 13.56 Å³/atom. Its formation energy from the elements is 119 meV per atom. Its total energy is -6.35 eV per atom. As for the total magnetization: 0.65 μB per cell.

Cell: 3.597 3.882 3.882 Å, 90.00 90.00 90.00°
Last column: magnetic moment on the atom in μB.
Fractional positions:
Rh 0.000 0.000 0.000  0.11
Rh 0.000 0.500 0.500  0.11
Li 0.500 0.000 0.500  -0.01
Ru 0.500 0.500 0.000  0.43


NbRe2Ge: optimized geometry, PBE.

Calculated values
The density of states at the Fermi level comes out at 10.71 states/eV/cell. For the volume, the calculation gives 17.20 Å³/atom. Its formation energy from the elements is 806 meV per atom. Its total energy is -9.09 eV per atom. As for the total magnetization: 0.00 μB per cell.

Cell: 7.213 7.213 5.745 Å, 51.12 51.12 90.00°
Fractional positions:
Re 0.375 0.414 0.750
Re 0.164 0.625 0.250
Re 0.586 0.125 0.250
Re 0.875 0.836 0.750
Nb 0.750 0.250 0.500
Nb 0.000 0.000 0.000
Ge 0.250 0.750 0.500
Ge 0.500 0.500 0.000


BePb2O: optimized geometry, PBE.

Calculated values
The energy relative to the elements, uncorrected is -0.0083 eV per atom. The density of states at the Fermi level comes out at 0.62 states/eV/cell. The calculation puts the energy above the most stable polymorph in this dataset at 0.000 eV per atom. For the volume, the calculation gives 22.32 Å³/atom. Its total energy is -4.03 eV per atom. As for the total magnetization: 0.00 μB per cell.

Cell: 5.549 5.549 7.002 Å, 66.66 66.66 90.00°
Fractional positions:
Be 0.250 0.750 0.500
Be 0.500 0.500 0.000
Pb 0.875 0.887 0.750
Pb 0.113 0.625 0.250
Pb 0.637 0.125 0.250
Pb 0.375 0.363 0.750
O 0.750 0.250 0.500
O 0.000 0.000 0.000


Ba2Ga2P2O: optimized geometry, PBE.

Calculated values
The energy relative to the elements, uncorrected is -1.0917 eV per atom. The density of states at the Fermi level comes out at 0.78 states/eV/cell. For the volume, the calculation gives 23.64 Å³/atom. Its total energy is -4.76 eV per atom. As for the total magnetization: 0.00 μB per cell.

Cell: 4.009 7.448 8.662 Å, 50.42 76.61 57.41°
Fractional positions:
Ga 0.382 0.547 0.141
Ga 0.618 0.453 0.859
Ba 0.571 0.059 0.740
Ba 0.429 0.941 0.260
P 0.947 0.382 0.341
P 0.053 0.618 0.659
O 0.000 0.000 0.000


CaHg2Pb2: optimized geometry, PBE.

Calculated values
The density of states at the Fermi level comes out at 6.16 states/eV/cell. The calculation puts the energy above the most stable polymorph in this dataset at 0.143 eV per atom. For the volume, the calculation gives 29.53 Å³/atom. Its formation energy from the elements is -116 meV per atom. Its total energy is -2.12 eV per atom. As for the total magnetization: 0.00 μB per cell.

Cell: 8.650 8.650 3.947 Å, 90.00 90.00 90.00°
Fractional positions:
Hg 0.835 0.335 0.500
Hg 0.165 0.665 0.500
Hg 0.665 0.835 0.500
Hg 0.335 0.165 0.500
Pb 0.134 0.366 0.000
Pb 0.634 0.134 0.000
Pb 0.866 0.634 0.000
Pb 0.366 0.866 0.000
Ca 0.000 0.000 0.000
Ca 0.500 0.500 0.000


Ca2ZrReB: optimized geometry, PBE.

Calculated values
The density of states at the Fermi level comes out at 6.62 states/eV/cell. For the volume, the calculation gives 22.90 Å³/atom. Its formation energy from the elements is 938 meV per atom. Its total energy is -5.40 eV per atom. As for the total magnetization: 2.19 μB per cell.

Cell: 4.933 4.706 4.933 Å, 90.00 90.00 90.00°
Last column: magnetic moment on the atom in μB.
Fractional positions:
Ca 0.000 0.000 0.500  0.01
Ca 0.500 0.000 0.000  0.00
B 0.000 0.000 0.000  0.07
Re 0.500 0.500 0.500  1.96
Zr 0.000 0.500 0.000  -0.18


Ta2BeSi: optimized geometry, PBE.

Calculated values
The energy relative to the elements, uncorrected is -0.5675 eV per atom. The density of states at the Fermi level comes out at 2.05 states/eV/cell. The calculation puts the energy above the most stable polymorph in this dataset at 0.000 eV per atom. For the volume, the calculation gives 14.13 Å³/atom. Its total energy is -8.78 eV per atom. As for the total magnetization: 0.00 μB per cell.

Cell: 3.498 4.977 6.924 Å, 110.33 90.00 90.00°
Fractional positions:
Si 0.750 0.636 0.783
Si 0.250 0.364 0.217
Ta 0.750 0.200 0.921
Ta 0.250 0.806 0.572
Ta 0.250 0.800 0.079
Ta 0.750 0.194 0.428
Be 0.750 0.649 0.288
Be 0.250 0.351 0.712


Pm3Sm3Zn2In: optimized geometry, PBE.

Calculated values
The density of states at the Fermi level comes out at 12.04 states/eV/cell. For the volume, the calculation gives 28.70 Å³/atom. Its formation energy from the elements is -169 meV per atom. Its total energy is -3.91 eV per atom. As for the total magnetization: 0.00 μB per cell.

Cell: 3.795 8.864 8.864 Å, 120.00 90.00 90.00°
Fractional positions:
Sm 0.000 0.379 0.000
Sm 0.000 0.621 0.621
Sm 0.000 0.000 0.379
In 0.000 0.000 0.000
Zn 0.500 0.333 0.667
Zn 0.500 0.667 0.333
Pm 0.500 0.298 0.298
Pm 0.500 0.702 0.000
Pm 0.500 0.000 0.702


BeAlGaTe2: optimized geometry, PBE.

Calculated values
The energy relative to the elements, uncorrected is 0.7245 eV per atom. The density of states at the Fermi level comes out at 3.62 states/eV/cell. For the volume, the calculation gives 28.39 Å³/atom. Its total energy is -2.63 eV per atom. As for the total magnetization: 0.00 μB per cell.

Cell: 5.406 5.406 4.858 Å, 90.00 90.00 90.00°
Fractional positions:
Al 0.000 0.000 0.000
Te 0.500 0.000 0.000
Te 0.000 0.500 0.000
Ga 0.000 0.000 0.500
Be 0.500 0.500 0.500


BaSmHgGe: optimized geometry, PBE.

Calculated values
The density of states at the Fermi level comes out at 4.23 states/eV/cell. For the volume, the calculation gives 30.03 Å³/atom. Its formation energy from the elements is -408 meV per atom. Its total energy is -3.30 eV per atom. As for the total magnetization: 0.00 μB per cell.

Cell: 5.538 5.538 5.538 Å, 60.00 60.00 60.00°
Fractional positions:
Hg 0.500 0.500 0.500
Ba 0.250 0.250 0.250
Sm 0.750 0.750 0.750
Ge 0.000 0.000 0.000


Zn2GePbCl: optimized geometry, PBE.

Calculated values
The energy relative to the elements, uncorrected is 0.5556 eV per atom. The density of states at the Fermi level comes out at 2.18 states/eV/cell. For the volume, the calculation gives 31.29 Å³/atom. Its total energy is -1.99 eV per atom. As for the total magnetization: 0.76 μB per cell.

Cell: 5.323 5.522 5.323 Å, 90.00 90.00 90.00°
Last column: magnetic moment on the atom in μB.
Fractional positions:
Pb 0.000 0.000 0.000  0.02
Ge 0.500 0.500 0.500  0.25
Zn 0.500 0.000 0.000  0.02
Zn 0.000 0.000 0.500  0.00
Cl 0.000 0.500 0.000  0.02


YTcNiAu2: optimized geometry, PBE.

Calculated values
The density of states at the Fermi level comes out at 4.46 states/eV/cell. For the volume, the calculation gives 21.70 Å³/atom. Its formation energy from the elements is 653 meV per atom. Its total energy is -5.18 eV per atom. As for the total magnetization: 2.87 μB per cell.

Cell: 4.790 4.730 4.790 Å, 90.00 90.00 90.00°
Last column: magnetic moment on the atom in μB.
Fractional positions:
Au 0.000 0.000 0.500  -0.01
Au 0.500 0.000 0.000  0.01
Tc 0.500 0.500 0.500  2.71
Ni 0.000 0.000 0.000  0.06
Y 0.000 0.500 0.000  -0.13